Entry 1:
# HfTeOs

A relaxed HfTeOs crystal (PBE, the Alexandria database).

Structure (CIF):
```
data_HfTeOs
_symmetry_space_group_name_H-M 'R -3 m'
_symmetry_Int_Tables_number 166
_symmetry_space_group_name_Hall '-R 3 2"'
_cell_length_a 4.1628
_cell_length_b 4.1628
_cell_length_c 31.7242
_cell_angle_alpha 90.00
_cell_angle_beta 90.00
_cell_angle_gamma 120.00
loop_
_atom_site_label
_atom_site_type_symbol
_atom_site_fract_x
_atom_site_fract_y
_atom_site_fract_z
Hf1 Hf 0.0000 0.0000 0.0578
Te1 Te 0.0000 0.0000 0.2217
Os1 Os 0.0000 0.0000 0.3346
```

Properties
Total DFT energy (no corrections) = -25.21 eV/f.u.
Raw formation energy = -0.297 eV per atom

***

Entry 2:
# V7TcB5

A relaxed V7TcB5 crystal (PBE, the Alexandria database).

Structure (CIF):
```
data_V7TcB5
_symmetry_space_group_name_H-M 'I m m 2'
_symmetry_Int_Tables_number 44
_symmetry_space_group_name_Hall 'I 2 -2'
_cell_length_a 4.8176
_cell_length_b 7.7960
_cell_length_c 7.3320
_cell_angle_alpha 90.00
_cell_angle_beta 90.00
_cell_angle_gamma 90.00
loop_
_atom_site_label
_atom_site_type_symbol
_atom_site_fract_x
_atom_site_fract_y
_atom_site_fract_z
V1 V 0.0000 0.0000 0.0000
V2 V 0.0000 0.0000 0.3368
V3 V 0.0000 0.3170 0.2153
V4 V 0.0000 0.3186 0.7724
V5 V 0.0000 0.5000 0.4946
Tc1 Tc 0.0000 0.0000 0.6560
B1 B 0.0000 0.5000 0.9942
B2 B 0.1811 0.2344 0.4934
```

Properties
Total DFT energy (no corrections) = -109.98 eV/f.u.
Calculated formation energy = -184 meV/atom

***

Entry 3:
# Ru2PbSe

A relaxed Ru2PbSe crystal (PBE, the Alexandria database).

Structure (CIF):
```
data_Ru2PbSe
_symmetry_space_group_name_H-M 'I -4 m 2'
_symmetry_Int_Tables_number 119
_symmetry_space_group_name_Hall 'I -4 -2'
_cell_length_a 3.8901
_cell_length_b 3.8901
_cell_length_c 9.3893
_cell_angle_alpha 90.00
_cell_angle_beta 90.00
_cell_angle_gamma 90.00
loop_
_atom_site_label
_atom_site_type_symbol
_atom_site_fract_x
_atom_site_fract_y
_atom_site_fract_z
Ru1 Ru 0.0000 0.0000 0.0000
Ru2 Ru 0.0000 0.5000 0.2500
Pb1 Pb 0.0000 0.0000 0.5000
Se1 Se 0.0000 0.5000 0.7500
```

Properties
Total DFT energy (no corrections) = -23.17 eV/f.u.
Raw formation energy = 0.644 eV per atom

***

Entry 4:
# Pm3PrIn3

A relaxed Pm3PrIn3 crystal (PBE, the Alexandria database).

Structure (CIF):
```
data_Pm3PrIn3
_symmetry_space_group_name_H-M 'C m m m'
_symmetry_Int_Tables_number 65
_symmetry_space_group_name_Hall '-C 2 2'
_cell_length_a 10.8708
_cell_length_b 10.9949
_cell_length_c 7.3350
_cell_angle_alpha 90.00
_cell_angle_beta 90.00
_cell_angle_gamma 90.00
loop_
_atom_site_label
_atom_site_type_symbol
_atom_site_fract_x
_atom_site_fract_y
_atom_site_fract_z
Pm1 Pm 0.0000 0.2413 0.0000
Pm2 Pm 0.0000 0.2461 0.5000
Pm3 Pm 0.2377 0.0000 0.0000
Pr1 Pr 0.2382 0.0000 0.5000
In1 In 0.0000 0.5000 0.2434
In2 In 0.2500 0.2500 0.2459
```

Properties
Total DFT energy (no corrections) = -29.60 eV/f.u.
Calculated formation energy = -336 meV/atom

***

Entry 5:
# LaLuSn

A relaxed LaLuSn crystal (PBE, the Alexandria database).

Structure (CIF):
```
data_LaLuSn
_symmetry_space_group_name_H-M 'I 4 m m'
_symmetry_Int_Tables_number 107
_symmetry_space_group_name_Hall 'I 4 -2'
_cell_length_a 3.5963
_cell_length_b 3.5963
_cell_length_c 14.1005
_cell_angle_alpha 90.00
_cell_angle_beta 90.00
_cell_angle_gamma 90.00
loop_
_atom_site_label
_atom_site_type_symbol
_atom_site_fract_x
_atom_site_fract_y
_atom_site_fract_z
La1 La 0.0000 0.0000 0.0000
Lu1 Lu 0.0000 0.0000 0.6994
Sn1 Sn 0.0000 0.0000 0.3398
```

Properties
Total DFT energy (no corrections) = -14.64 eV/f.u.
Calculated formation energy = -396 meV/atom

***

Entry 6:
# Sm4Gd2H

A relaxed Sm4Gd2H crystal (PBE, the Alexandria database).

Structure (CIF):
```
data_Sm4Gd2H
_symmetry_space_group_name_H-M 'I 4/m m m'
_symmetry_Int_Tables_number 139
_symmetry_space_group_name_Hall '-I 4 2'
_cell_length_a 4.9130
_cell_length_b 4.9130
_cell_length_c 17.3666
_cell_angle_alpha 90.00
_cell_angle_beta 90.00
_cell_angle_gamma 90.00
loop_
_atom_site_label
_atom_site_type_symbol
_atom_site_fract_x
_atom_site_fract_y
_atom_site_fract_z
Sm1 Sm 0.0000 0.0000 0.1518
Sm2 Sm 0.0000 0.5000 0.0000
Gd1 Gd 0.0000 0.0000 0.3529
H1 H 0.0000 0.0000 0.0000
```

Properties
Total DFT energy (no corrections) = -49.98 eV/f.u.

***

Entry 7:
# Pm2SbHRh6

A relaxed Pm2SbHRh6 crystal (PBE, the Alexandria database).

Structure (CIF):
```
data_Pm2SbHRh6
_symmetry_space_group_name_H-M 'I m m m'
_symmetry_Int_Tables_number 71
_symmetry_space_group_name_Hall '-I 2 2'
_cell_length_a 6.2655
_cell_length_b 6.2940
_cell_length_c 8.8759
_cell_angle_alpha 90.00
_cell_angle_beta 90.00
_cell_angle_gamma 90.00
loop_
_atom_site_label
_atom_site_type_symbol
_atom_site_fract_x
_atom_site_fract_y
_atom_site_fract_z
Pm1 Pm 0.0000 0.0000 0.2492
Sb1 Sb 0.0000 0.5000 0.5000
H1 H 0.0000 0.5000 0.0000
Rh1 Rh 0.0000 0.5000 0.2188
Rh2 Rh 0.2198 0.2818 0.0000
```

Properties
Total DFT energy (no corrections) = -65.74 eV/f.u.

***

Entry 8:
# RuPbAu2

A relaxed RuPbAu2 crystal (PBE, the Alexandria database).

Structure (CIF):
```
data_RuPbAu2
_symmetry_space_group_name_H-M 'F -4 3 m'
_symmetry_Int_Tables_number 216
_symmetry_space_group_name_Hall 'F -4 2 3'
_cell_length_a 6.6963
_cell_length_b 6.6963
_cell_length_c 6.6963
_cell_angle_alpha 90.00
_cell_angle_beta 90.00
_cell_angle_gamma 90.00
loop_
_atom_site_label
_atom_site_type_symbol
_atom_site_fract_x
_atom_site_fract_y
_atom_site_fract_z
Ru1 Ru 0.0000 0.0000 0.0000
Pb1 Pb 0.2500 0.2500 0.7500
Au1 Au 0.0000 0.0000 0.5000
Au2 Au 0.2500 0.2500 0.2500
```

Properties
Total DFT energy (no corrections) = -17.91 eV/f.u.
Calculated formation energy = 408 meV/atom